(1)
The following is a PBE-GGA calculation of a geometry-optimized SrTcCl2 structure, from Alexandria.

Computed properties:
V = 28.37 A^3/atom
VASP energy = -17.883 eV/f.u.
energy above the most stable polymorph in this dataset = 0 meV/atom
calculated density = 3.8 g/cm³
formation energy from raw total energies = -0.5356 eV per atom
size of the total moment = 3.0 μB per cell

Cell lengths 5.581, 5.581, 5.563 Å; angles 90.43, 90.43, 40.93 degrees
Atoms (fractional coordinates):
Sr 0.750 0.750 0.750
Tc 0.250 0.250 0.250
Cl 0.073 0.073 0.982
Cl 0.427 0.427 0.518

(2)
The following is a PBE-GGA calculation of a geometry-optimized Na5InBr7 structure, from Alexandria.

Computed properties:
V = 28.87 A^3/atom
VASP energy = -38.125 eV/f.u.
calculated density = 3.5 g/cm³
formation energy from raw total energies = -1.3139 eV per atom
size of the total moment = 0.0 μB per cell

Cell lengths 4.093, 7.413, 25.738 Å; angles 90.05, 90.00, 106.02 degrees
Atoms (fractional coordinates):
Na 0.000 0.001 0.000
Na 0.723 0.447 0.930
Na 0.277 0.555 0.070
Na 0.536 0.072 0.358
Na 0.464 0.928 0.643
Na 0.000 0.001 0.500
Na 0.277 0.554 0.430
Na 0.724 0.447 0.570
Na 0.464 0.927 0.858
Na 0.537 0.074 0.142
In 0.780 0.560 0.250
In 0.220 0.441 0.750
Br 0.430 0.860 0.250
Br 0.570 0.141 0.750
Br 0.638 0.275 0.038
Br 0.363 0.726 0.962
Br 0.363 0.727 0.538
Br 0.637 0.274 0.462
Br 0.186 0.373 0.178
Br 0.814 0.628 0.822
Br 0.815 0.629 0.678
Br 0.186 0.372 0.322
Br 0.911 0.822 0.105
Br 0.090 0.180 0.895
Br 0.090 0.181 0.605
Br 0.910 0.820 0.395